Crystalline Cs4TiBr5 at its relaxed geometry. Source: Alexandria via LeMat-Bulk, functional PBE.

```
Cs4TiBr5
1.0
-1.9191 -3.7741 -5.9414
6.1866 -0.8516 -5.9366
1.4180 -8.4868 0.4537
Cs Ti Br
4 1 5
direct
0.4106 0.3915 0.7960
0.8021 0.7960 0.6085
0.2066 0.2040 0.3915
0.5981 0.6085 0.2040
0.0498 0.0000 0.0000
0.9233 0.3239 0.8385
0.2472 0.8385 0.6761
0.7618 0.1615 0.3239
0.0857 0.6761 0.1615
0.4251 0.0000 0.0000
```

## Properties
Magnetization: 2.828 μB per cell
Energy relative to the elements, uncorrected: -1.34 eV per atom

Crystalline SrCaCdBr6 at its relaxed geometry. Source: Alexandria via LeMat-Bulk, functional PBE.

```
SrCaCdBr6
1.0
-4.2785 5.6370 -1.8150
-1.3418 -3.7884 6.1010
7.9672 8.2635 6.8836
Sr Ca Cd Br
2 2 2 12
direct
0.0000 0.0000 0.0000
0.0000 0.0000 0.5000
0.3333 0.6667 0.2500
0.6667 0.3333 0.7500
0.6667 0.3333 0.2500
0.3333 0.6667 0.7500
0.6525 0.6429 0.1294
0.9904 0.3475 0.1294
0.3475 0.9904 0.6294
0.0096 0.6525 0.8706
0.3571 0.3475 0.3706
0.9904 0.6429 0.3706
0.6429 0.9904 0.8706
0.6525 0.0096 0.3706
0.0096 0.3571 0.6294
0.3571 0.0096 0.1294
0.6429 0.6525 0.6294
0.3475 0.3571 0.8706
```

## Properties
Magnetization: 0.000 μB per cell
Energy relative to the elements, uncorrected: -1.65 eV per atom

Crystalline NiMoIr at its relaxed geometry. Source: Alexandria via LeMat-Bulk, functional PBE.

```
NiMoIr
1.0
-0.1658 -4.2243 -0.0551
3.0613 2.0231 -2.1002
1.5618 -0.0899 2.1899
Ir Mo Ni
1 1 1
direct
0.0000 0.0000 0.9998
0.3333 0.6667 0.4997
0.6667 0.3333 0.5005
```

## Properties
Energy of formation from the pure elements: -0.074 eV/atom
Magnetization: 0.000 μB per cell
Offset from the most stable computed form: 0.149 eV/atom

Crystalline NaGa2TeS6 at its relaxed geometry. Source: Alexandria via LeMat-Bulk, functional PBE.

```
NaGa2TeS6
1.0
6.8981 -0.4018 -0.4170
1.7418 8.2028 0.1491
1.7418 -0.1551 8.2027
Na Ga Te S
2 4 2 12
direct
0.2500 0.9175 0.0825
0.7500 0.0825 0.9175
0.2796 0.7812 0.6010
0.2204 0.3990 0.2188
0.7204 0.2188 0.3990
0.7796 0.6010 0.7812
0.2500 0.2572 0.7428
0.7500 0.7428 0.2572
0.1330 0.9927 0.7747
0.3670 0.2253 0.0073
0.8670 0.0073 0.2253
0.6330 0.7747 0.9927
0.4031 0.9060 0.3719
0.0969 0.6281 0.0940
0.5969 0.0940 0.6281
0.9031 0.3719 0.9060
0.9813 0.6958 0.5678
0.5187 0.4322 0.3042
0.0187 0.3042 0.4322
0.4813 0.5678 0.6958
```

## Properties
Magnetization: 1.950 μB per cell
Energy relative to the elements, uncorrected: -0.36 eV per atom

Crystalline BaDy2SnN4 at its relaxed geometry. Source: Alexandria via LeMat-Bulk, functional PBE.

```
BaDy2SnN4
1.0
3.5441 0.0000 0.0000
-1.7720 6.2123 0.0000
0.0000 0.0000 12.3553
Ba Dy Sn N
2 4 2 8
direct
0.0985 0.1970 0.7500
0.9015 0.8030 0.2500
0.3701 0.7402 0.5333
0.6299 0.2598 0.0333
0.6299 0.2598 0.4667
0.3701 0.7402 0.9667
0.8316 0.6631 0.7500
0.1684 0.3369 0.2500
0.2566 0.5131 0.1100
0.7434 0.4869 0.6100
0.7434 0.4869 0.8900
0.2566 0.5131 0.3900
0.0000 0.0000 0.5000
0.0000 0.0000 0.0000
0.4266 0.8532 0.7500
0.5734 0.1468 0.2500
```

## Properties
Magnetization: 0.000 μB per cell
Energy relative to the elements, uncorrected: -0.88 eV per atom

Crystalline Re2TeSe3 at its relaxed geometry. Source: Alexandria via LeMat-Bulk, functional PBE.

```
Re2TeSe3
1.0
3.2228 0.0000 0.6637
1.5797 8.6612 0.4860
-0.4066 -1.9471 10.1305
Re Te Se
4 2 6
direct
0.8439 0.4062 0.9061
0.1561 0.5938 0.0939
0.6533 0.1049 0.5886
0.3467 0.8951 0.4114
0.4427 0.4251 0.6894
0.5573 0.5749 0.3106
0.0510 0.1127 0.7854
0.9490 0.8873 0.2146
0.6822 0.6948 0.9408
0.3178 0.3052 0.0592
0.8016 0.8189 0.5779
0.1984 0.1811 0.4221
```

## Properties
Magnetization: 0.000 μB per cell
Energy relative to the elements, uncorrected: -0.22 eV per atom